Entry 1:
5
Lattice="-2.6455 -3.9910 -0.6146 3.4189 -2.6330 2.3810 -2.2564 0.8517 4.1819" Properties=species:S:1:pos:R:3 comment="SrMgScRu2 (PBE, relaxed)" sg="P4/mmm, No. 123" formation_energy_mev_per_atom=950 de_polymorph_ev_per_atom=0.255 pbc="T T T"
Sc 1.7094 -1.3165 1.1905
Ru -1.1282 0.4258 2.0909
Ru -1.3228 -1.9955 -0.3073
Mg 0.0000 0.0000 0.0000
Sr -0.7415 -2.8861 2.9741


Entry 2:
9
Lattice="-2.4192 1.4708 -2.8617 1.5106 -0.6349 -4.4348 -3.7152 -6.9119 -3.2430" Properties=species:S:1:pos:R:3 comment="InCu2Pd6 (PBE, relaxed)" sg="C2/m, No. 12" formation_energy_mev_per_atom=-222 de_polymorph_ev_per_atom=0.000 pbc="T T T"
In -1.1023 -3.7734 -3.8389
Cu -2.5637 -4.9931 -6.0617
Cu -2.0602 -1.0830 -4.4778
Pd -4.0360 -6.0196 -8.1761
Pd -0.5879 -0.0564 -2.3634
Pd 0.6050 -1.6826 -4.2076
Pd -0.8422 -2.7814 -6.3804
Pd -5.2289 -4.3935 -6.3319
Pd -3.7817 -3.2946 -4.1591


Entry 3:
16
Lattice="6.2287 0.0000 0.0000 3.1144 7.2793 0.0000 3.1144 0.0000 11.7036" Properties=species:S:1:pos:R:3 comment="Rb2YAuO4 (PBE, relaxed)" formation_energy_uncorrected_mev_per_atom=-1358 sg="Fddd, No. 70" pbc="T T T"
Rb 3.1144 0.0000 7.2229
Rb 6.2287 0.0000 4.4808
Rb 7.7859 3.6396 10.3326
Rb 7.7859 3.6396 1.3710
Y 7.7859 3.6396 5.8518
Y 0.0000 0.0000 0.0000
Au 4.6715 3.6396 5.8518
Au 3.1144 0.0000 0.0000
O 4.7537 5.8465 0.0567
O 4.7537 1.4327 11.6469
O 10.8180 5.8465 11.6469
O 4.5893 1.4327 0.0567
O 6.1465 5.0724 5.7951
O 6.1465 2.2069 5.9085
O 9.4253 5.0724 5.9085
O 3.1966 2.2069 5.7951


Entry 4:
8
Lattice="-2.0511 3.1424 -1.5409 0.6213 -3.9800 -3.6085 -6.0469 -2.8929 2.1496" Properties=species:S:1:pos:R:3 comment="CaPPd2 (PBE, relaxed)" sg="Cmcm, No. 63" formation_energy_mev_per_atom=-800 pbc="T T T"
Ca -2.8974 -1.2987 -4.1351
Ca -4.5793 -2.4319 1.1353
P -5.7792 -1.8990 -1.5228
P -1.6976 -1.8316 -1.4770
Pd -3.6292 -3.2614 -1.8228
Pd -3.8475 -0.4692 -1.1771
Pd -5.9975 -4.3944 -0.9809
Pd -1.4793 0.6638 -2.0190


Entry 5:
4
Lattice="-0.2230 1.9576 2.9115 1.6133 -2.5315 1.8257 6.1326 2.8600 -1.4533" Properties=species:S:1:pos:R:3 comment="ScTl2Pt (PBE, relaxed)" sg="P4/mmm, No. 123" formation_energy_mev_per_atom=-146 pbc="T T T"
Pt 2.2283 0.4280 2.0053
Sc 5.2946 1.8581 1.2786
Tl 0.1254 0.0585 -0.0297
Tl 2.9409 1.3715 -0.6969


Entry 6:
4
Lattice="4.8672 0.0110 0.0000 -1.1846 4.7208 0.0000 0.0000 0.0000 3.5015" Properties=species:S:1:pos:R:3 comment="Sc2BeTe (PBE, relaxed)" formation_energy_uncorrected_mev_per_atom=-243 sg="Cmmm, No. 65" de_polymorph_ev_per_atom=0.236 pbc="T T T"
Sc 0.0000 0.0000 0.0000
Sc 1.8413 2.3659 0.0000
Be -0.5923 2.3604 1.7507
Te 2.4336 0.0055 1.7507


Entry 7:
4
Lattice="-3.3733 -3.0363 -0.3033 2.5777 -2.7414 -1.2245 0.6346 -1.0800 3.7537" Properties=species:S:1:pos:R:3 comment="KZnCo2 (PBE, relaxed)" sg="P4/mmm, No. 123" formation_energy_mev_per_atom=1123 pbc="T T T"
Co 0.0000 0.0000 0.0000
Co 1.6062 -1.9107 1.2646
K -0.3978 -2.8889 -0.7639
Zn -1.3693 -2.0582 1.7252


Entry 8:
5
Lattice="4.1694 0.0000 0.0000 0.0000 4.1694 0.0000 0.0000 0.0000 4.0952" Properties=species:S:1:pos:R:3 comment="BRuS2Cl (PBE, relaxed)" formation_energy_uncorrected_mev_per_atom=1003 sg="P4/mmm, No. 123" de_polymorph_ev_per_atom=0.000 pbc="T T T"
Ru 2.0847 2.0847 2.0476
S 0.0000 2.0847 0.0000
S 2.0847 0.0000 0.0000
B 0.0000 0.0000 0.0000
Cl 0.0000 0.0000 2.0476


Entry 9:
14
Lattice="-3.7941 -3.2890 2.4196 4.3829 1.1098 8.3812 -6.8926 6.0323 -2.6082" Properties=species:S:1:pos:R:3 comment="Nd3Tm3Tl (PBE, relaxed)" sg="P6_3/m, No. 176" formation_energy_mev_per_atom=-74 pbc="T T T"
Nd -3.0055 3.5841 3.3692
Nd -3.7411 2.1466 0.2617
Nd -5.5031 4.9753 1.3439
Nd -3.2983 0.2690 4.8234
Nd -2.5628 1.7065 7.9309
Nd -0.8007 -1.1222 6.8487
Tm -5.1688 3.3634 6.0967
Tm -4.1940 -1.0012 1.6925
Tm -8.5771 3.4133 0.8202
Tm -1.1350 0.4897 2.0959
Tm -2.1099 4.8543 6.5001
Tm 2.2733 0.4399 7.3724
Tl -5.9806 1.9253 2.8689
Tl -0.3232 1.9278 5.3237


Entry 10:
12
Lattice="4.0440 -0.0026 0.0103 0.0024 4.0440 0.0103 1.9945 1.9921 10.6467" Properties=species:S:1:pos:R:3 comment="Ba2AcGa2O7 (PBE, relaxed)" formation_energy_uncorrected_mev_per_atom=-2355 sg="I4/mmm, No. 139" pbc="T T T"
Ba 4.0367 4.0318 3.8901
Ba 2.0043 2.0018 6.7773
Ac 0.0000 0.0000 0.0000
Ga 4.0227 4.0178 8.6186
Ga 2.0183 2.0158 2.0488
O 2.0232 2.0207 0.0103
O 2.0135 2.0110 4.0250
O 4.0275 4.0226 6.6424
O 4.0406 2.0147 1.8762
O 2.0196 4.0381 1.8762
O 4.0214 1.9955 8.7912
O 2.0004 4.0189 8.7912


Entry 11:
13
Lattice="4.4929 0.0000 1.8143 2.2464 5.9961 0.9072 0.0012 0.0000 6.4671" Properties=species:S:1:pos:R:3 comment="UCu12 (PBE, relaxed)" sg="I4/mmm, No. 139" formation_energy_mev_per_atom=68 pbc="T T T"
U 0.0000 0.0000 0.0000
Cu 2.2470 0.0000 4.1407
Cu 0.0006 0.0000 3.2335
Cu 3.3697 2.9981 1.3608
Cu 1.1232 2.9981 0.4536
Cu 1.4504 3.8703 2.8784
Cu 0.7972 2.1259 4.4959
Cu 3.6968 2.1259 3.7855
Cu 3.0437 3.8703 5.4030
Cu 2.7444 1.3267 6.1440
Cu 3.9961 4.6694 3.0445
Cu 4.9909 4.6694 7.0512
Cu 1.7496 1.3267 2.1374


Entry 12:
3
Lattice="3.2981 0.0000 0.0000 -1.6490 2.8562 0.0000 0.0000 0.0000 6.2729" Properties=species:S:1:pos:R:3 comment="CaMnCo (PBE, relaxed)" sg="P3m1, No. 156" formation_energy_mev_per_atom=662 de_polymorph_ev_per_atom=0.466 pbc="T T T"
Ca 0.0000 0.0000 0.1676
Mn 0.0000 1.9041 3.8013
Co 1.6490 0.9521 2.3041


What are the ρ values for these records? In order: 5.2 10.7 3.3 6.6 12.6 4.7 5.2 4.9 8.7 7.2 9.5 4.3 g/cm³.
What are the uncorrected energy values for these records? In order: -4.6820 -4.8981 -5.2969 -5.2489 -4.4221 -5.1260 -3.0228 -4.2080 -4.3713 -6.4142 -4.5810 -5.4308 eV/atom.